The following is a PBE-GGA calculation of a relaxed Pr8Ru3SI4 crystal, from Alexandria via LeMat-Bulk.

Properties
symmetry: R-3m
uncorrected formation energy: -0.85 eV per atom

abc: 8.4682 9.4853 8.4671
angles: 116.49 120.00 90.00
Last column: nearest neighbours and their distance in Å.
Sites, in units of the cell vectors:
Pr  0.2348  0.6835  0.9489  2 Ru 2.82, 1 S 2.95
Pr  0.2347  0.6833  0.4693  2 Ru 2.82, 1 S 2.95
Pr  0.2693  0.3080  0.5387  3 Ru 2.90
Pr  0.7141  0.6835  0.9489  2 Ru 2.82, 1 S 2.95
Pr  0.2859  0.3165  0.0511  2 Ru 2.82, 1 S 2.95
Pr  0.7307  0.6920  0.4613  3 Ru 2.90
Pr  0.7653  0.3167  0.5307  2 Ru 2.82, 1 S 2.95
Pr  0.7652  0.3165  0.0511  2 Ru 2.82, 1 S 2.95
Ru  0.5000  0.5000  0.0000  6 Pr 2.82-2.90
Ru  0.5000  0.5000  0.5000  6 Pr 2.82-2.90
Ru  0.0000  0.5000  0.5000  6 Pr 2.82-2.90
S  0.0000  0.5000  0.0000  6 Pr 2.95
I  0.5000  0.0000  0.0000  6 Pr 3.48
I  0.5000  0.0000  0.5000  6 Pr 3.50-3.59
I  0.0000  0.0000  0.0000  6 Pr 3.50-3.59
I  0.0000  0.0000  0.5000  6 Pr 3.50-3.59


The following is a PBE-GGA calculation of a relaxed BaTaSb3 crystal, from Alexandria via LeMat-Bulk.

Properties
ΔE to the lowest computed polymorph: 0 kJ/mol of formula units
symmetry: Pm-3m
uncorrected formation energy: -0.22 eV per atom

abc: 5.4685 5.4685 5.4685
angles: 90.00 90.00 90.00
Last column: nearest neighbours and their distance in Å.
Sites, in units of the cell vectors:
Sb  0.0000  0.5000  0.0000  2 Ta 2.73
Sb  0.0000  0.0000  0.5000  2 Ta 2.73
Sb  0.5000  0.0000  0.0000  2 Ta 2.73
Ba  0.5000  0.5000  0.5000  12 Sb 3.87
Ta  0.0000  0.0000  0.0000  6 Sb 2.73


The following is a PBE-GGA calculation of a relaxed TaSb2TeSe crystal, from Alexandria via LeMat-Bulk.

Properties
ΔE to the lowest computed polymorph: 386 kJ/mol of formula units
symmetry: P4/mmm
uncorrected formation energy: 1.24 eV per atom

abc: 5.2792 5.2792 5.2431
angles: 90.00 90.00 90.00
Last column: nearest neighbours and their distance in Å.
Sites, in units of the cell vectors:
Sb  0.0000  0.5000  0.0000  2 Se 2.64
Sb  0.5000  0.0000  0.0000  2 Se 2.64
Te  0.0000  0.0000  0.5000  2 Se 2.62
Se  0.0000  0.0000  0.0000  2 Te 2.62, 4 Sb 2.64
Ta  0.5000  0.5000  0.5000  8 Sb 3.72, 4 Te 3.73


The following is a PBE-GGA calculation of a relaxed CsVCu3Se4 crystal, from Alexandria via LeMat-Bulk.

Properties
symmetry: P-43m
uncorrected formation energy: -0.40 eV per atom

abc: 6.2777 6.2777 6.2777
angles: 90.00 90.00 90.00
Last column: nearest neighbours and their distance in Å.
Sites, in units of the cell vectors:
Cs  0.0000  0.0000  0.0000  4 Se 3.12
V  0.5000  0.5000  0.5000  4 Se 2.32
Cu  0.5000  0.0000  0.5000  4 Se 2.61
Cu  0.5000  0.5000  0.0000  4 Se 2.61
Cu  0.0000  0.5000  0.5000  4 Se 2.61
Se  0.7132  0.7132  0.7132  1 V 2.32
Se  0.2868  0.2868  0.7132  1 V 2.32
Se  0.7132  0.2868  0.2868  1 V 2.32
Se  0.2868  0.7132  0.2868  1 V 2.32


The following is a PBE-GGA calculation of a relaxed In2IrBr crystal, from Alexandria via LeMat-Bulk.

Properties
ΔE to the lowest computed polymorph: 31 kJ/mol of formula units
symmetry: Imm2
uncorrected formation energy: -0.03 eV per atom

abc: 8.4704 8.4704 8.4704
angles: 157.76 153.21 35.09
Last column: nearest neighbours and their distance in Å.
Sites, in units of the cell vectors:
Ir  0.5444  0.5444  0.0000  6 In 2.71-2.73
Br  0.2878  0.7878  0.5000  4 In 3.09, 2 Br 3.27
In  0.9882  0.9882  0.0000  4 Ir 2.71
In  0.6796  0.1796  0.5000  2 Ir 2.73


The following is a PBE-GGA calculation of a relaxed Nd2DyGa3Rh4 crystal, from Alexandria via LeMat-Bulk.

Properties
symmetry: P-4m2
formation enthalpy at 0 K: -0.7831 eV/atom

abc: 4.2917 4.2917 10.9132
angles: 90.00 90.00 90.00
Last column: nearest neighbours and their distance in Å.
Sites, in units of the cell vectors:
Nd  0.5000  0.0000  0.2215  8 Rh 3.23-3.33, 4 Ga 3.24
Nd  0.0000  0.5000  0.7785  8 Rh 3.23-3.33, 4 Ga 3.24
Dy  0.5000  0.5000  0.5000  4 Rh 2.72, 4 Ga 3.03
Ga  0.0000  0.0000  0.5000  4 Rh 2.72, 4 Dy 3.03
Ga  0.5000  0.0000  0.8833  5 Rh 2.50-2.51
Ga  0.0000  0.5000  0.1167  5 Rh 2.50-2.51
Rh  0.5000  0.5000  0.0000  4 Ga 2.50
Rh  0.0000  0.0000  0.0000  4 Ga 2.50
Rh  0.5000  0.0000  0.6530  3 Ga 2.51-2.72, 2 Dy 2.72
Rh  0.0000  0.5000  0.3470  3 Ga 2.51-2.72, 2 Dy 2.72


The following is a PBE-GGA calculation of a relaxed MgRe2Br crystal, from Alexandria via LeMat-Bulk.

Properties
ΔE to the lowest computed polymorph: 235 kJ/mol of formula units
symmetry: Imm2
uncorrected formation energy: 0.76 eV per atom

abc: 6.4192 6.4192 6.4192
angles: 149.36 136.68 53.99
Last column: nearest neighbours and their distance in Å.
Sites, in units of the cell vectors:
Br  0.5551  0.5551  0.0000  2 Re 2.91
Mg  0.2803  0.7803  0.5000  6 Re 2.75-2.92
Re  0.9022  0.9022  0.0000  2 Re 2.33
Re  0.7624  0.2624  0.5000  2 Re 2.33


The following is a PBE-GGA calculation of a relaxed CaTa crystal, from Alexandria via LeMat-Bulk.

Properties
ΔE to the lowest computed polymorph: 53 kJ/mol of formula units
symmetry: Pmmn
formation enthalpy at 0 K: 0.6308 eV/atom

abc: 16.7582 3.1991 5.7839
angles: 90.00 90.00 90.00
Last column: nearest neighbours and their distance in Å.
Sites, in units of the cell vectors:
Ca  0.8081  0.5034  0.0000  4 Ca 3.20-3.49, 6 Ta 3.40-3.47
Ca  0.3081  0.4966  0.5000  4 Ca 3.20-3.49, 6 Ta 3.40-3.47
Ca  0.6919  0.4966  0.5000  4 Ca 3.20-3.49, 6 Ta 3.40-3.47
Ca  0.1919  0.5034  0.0000  4 Ca 3.20-3.49, 6 Ta 3.40-3.47
Ca  0.0000  0.0050  0.0000  2 Ca 3.20, 4 Ta 3.30-3.31
Ca  0.5000  0.9950  0.5000  2 Ca 3.20, 4 Ta 3.30-3.31
Ta  0.3719  0.9971  0.0000  2 Ta 2.67-2.68
Ta  0.8719  0.0029  0.5000  2 Ta 2.67-2.68
Ta  0.1281  0.0029  0.5000  2 Ta 2.67-2.68
Ta  0.6281  0.9971  0.0000  2 Ta 2.67-2.68
Ta  0.0000  0.5041  0.5000  4 Ta 2.67-2.68
Ta  0.5000  0.4959  0.0000  4 Ta 2.67-2.68


The following is a PBE-GGA calculation of a relaxed YMg3Cu3 crystal, from Alexandria via LeMat-Bulk.

Properties
ΔE to the lowest computed polymorph: 0 kJ/mol of formula units
symmetry: P6_3/m
formation enthalpy at 0 K: -0.1380 eV/atom

abc: 8.3804 8.3802 4.3724
angles: 90.00 90.00 120.02
Last column: nearest neighbours and their distance in Å.
Sites, in units of the cell vectors:
Cu  0.9436  0.4038  0.2500  2 Cu 2.60, 4 Mg 2.69-2.76, 1 Y 2.88
Cu  0.5962  0.5399  0.2500  2 Cu 2.60, 4 Mg 2.69-2.75, 1 Y 2.88
Cu  0.4602  0.0564  0.2500  2 Cu 2.60, 4 Mg 2.69-2.75, 1 Y 2.89
Cu  0.0564  0.5962  0.7500  2 Cu 2.60, 4 Mg 2.69-2.76, 1 Y 2.88
Cu  0.4038  0.4601  0.7500  2 Cu 2.60, 4 Mg 2.69-2.75, 1 Y 2.88
Cu  0.5398  0.9436  0.7500  2 Cu 2.60, 4 Mg 2.69-2.75, 1 Y 2.89
Mg  0.2647  0.2308  0.2500  4 Cu 2.69-2.75
Mg  0.7691  0.0339  0.2500  4 Cu 2.69-2.75
Mg  0.9661  0.7352  0.2500  4 Cu 2.69-2.76
Mg  0.7353  0.7692  0.7500  4 Cu 2.69-2.75
Mg  0.2309  0.9661  0.7500  4 Cu 2.69-2.75
Mg  0.0339  0.2648  0.7500  4 Cu 2.69-2.76
Y  0.3333  0.6666  0.2500  9 Cu 2.88-3.02
Y  0.6667  0.3334  0.7500  9 Cu 2.88-3.02


The following is a PBE-GGA calculation of a relaxed Zr3Co8Mo crystal, from Alexandria via LeMat-Bulk.

Properties
symmetry: R3m
formation enthalpy at 0 K: -0.2034 eV/atom

abc: 4.8355 4.8355 8.3879
angles: 73.25 73.25 60.00
Last column: nearest neighbours and their distance in Å.
Sites, in units of the cell vectors:
Zr  0.6234  0.6234  0.1299  12 Co 2.84-2.88, 4 Zr 3.03-3.04
Zr  0.0063  0.0063  0.9812  12 Co 2.77-3.00, 1 Mo 2.93, 3 Zr 3.03
Zr  0.4953  0.4953  0.5140  12 Co 2.73-2.87, 3 Mo 2.89, 1 Zr 3.04
Co  0.5626  0.0639  0.8109  6 Co 2.40-2.44
Co  0.0607  0.5610  0.3176  6 Co 2.40-2.44
Co  0.5626  0.5626  0.8109  6 Co 2.40-2.44
Co  0.0607  0.0607  0.3176  6 Co 2.40-2.44
Co  0.8117  0.8117  0.5648  6 Co 2.40
Co  0.3120  0.3120  0.0641  6 Co 2.44
Co  0.0639  0.5626  0.8109  6 Co 2.40-2.44
Co  0.5610  0.0607  0.3176  6 Co 2.40-2.44
Mo  0.1299  0.1299  0.6102  12 Co 2.70-2.89, 4 Zr 2.89-2.93


The following is a PBE-GGA calculation of a relaxed Fe2ReMoPb crystal, from Alexandria via LeMat-Bulk.

Properties
symmetry: P4/mmm
formation enthalpy at 0 K: 1.5440 eV/atom

abc: 4.6172 4.7726 4.6172
angles: 90.00 90.00 90.00
Last column: nearest neighbours and their distance in Å.
Sites, in units of the cell vectors:
Pb  0.5000  0.5000  0.5000  4 Re 3.26, 8 Fe 3.32
Re  0.0000  0.5000  0.0000  2 Mo 2.39
Mo  0.0000  0.0000  0.0000  4 Fe 2.31, 2 Re 2.39
Fe  0.0000  0.0000  0.5000  2 Mo 2.31
Fe  0.5000  0.0000  0.0000  2 Mo 2.31


The following is a PBE-GGA calculation of a relaxed Na3AlF6 crystal, from Alexandria via LeMat-Bulk.

Properties
ΔE to the lowest computed polymorph: 0 kJ/mol of formula units
symmetry: P2_1/c
uncorrected formation energy: -3.14 eV per atom

abc: 5.6755 5.4707 9.5587
angles: 55.38 90.00 90.00
Last column: nearest neighbours and their distance in Å.
Sites, in units of the cell vectors:
Na  0.5541  0.7293  0.2549  5 F 2.31-2.55
Na  0.0541  0.2707  0.2451  5 F 2.31-2.55
Na  0.4459  0.2707  0.7451  5 F 2.31-2.55
Na  0.9459  0.7293  0.7549  5 F 2.31-2.55
Na  0.5000  0.5000  0.0000  6 F 2.26-2.32
Na  0.0000  0.5000  0.5000  6 F 2.26-2.32
Al  0.5000  0.0000  0.5000  6 F 1.83-1.84
Al  0.0000  0.0000  0.0000  6 F 1.83-1.84
F  0.2325  0.7685  0.5677  1 Al 1.84
F  0.7325  0.2315  0.9323  1 Al 1.84
F  0.7675  0.2315  0.4323  1 Al 1.84
F  0.2675  0.7685  0.0677  1 Al 1.84
F  0.3251  0.3200  0.4521  1 Al 1.83
F  0.8251  0.6800  0.0479  1 Al 1.83
F  0.6749  0.6800  0.5479  1 Al 1.83
F  0.1749  0.3200  0.9521  1 Al 1.83
F  0.0494  0.1091  0.7816  1 Al 1.84
F  0.5494  0.8909  0.7184  1 Al 1.84
F  0.9506  0.8909  0.2184  1 Al 1.84
F  0.4506  0.1091  0.2816  1 Al 1.84


| no. | mass density (g/cm³) |
| --- | --- |
| 1 | 6.5 |
| 2 | 6.9 |
| 3 | 7.2 |
| 4 | 4.6 |
| 5 | 8.0 |
| 6 | 8.9 |
| 7 | 8.6 |
| 8 | 7.1 |
| 9 | 4.4 |
| 10 | 8.7 |
| 11 | 9.8 |
| 12 | 2.9 |